LiVO2F2 | GGA+U | optimized geometry

Cell and atoms, written as POSCAR:
```
LiVO2F2
1.0
-4.328 -1.023 3.256
0.745 -5.221 -0.649
3.208 -2.571 3.456
Li V O F
2 2 4 4
Direct
0.592 0.250 0.500 Li
0.408 0.750 0.500 Li
0.903 0.250 0.000 V
0.097 0.750 0.000 V
0.888 0.027 0.800 O
0.888 0.473 0.200 O
0.112 0.527 0.800 O
0.112 0.973 0.200 O
0.644 0.053 0.265 F
0.356 0.553 0.265 F
0.644 0.447 0.735 F
0.356 0.947 0.735 F
```

Output
As for the relative energy among the computed polymorphs: 0.029 eV per atom. The magnetic moment is 0.00 μB per formula unit. For the total energy, the calculation gives -73.80 eV for the cell shown. The density of states at the Fermi level comes out at 0.00 states/eV/f.u.